Record 1
First-principles (PBE) data for TbPm2Tm3 after structural relaxation, as listed in Alexandria via LeMat-Bulk.

Cell lengths 9.0259, 9.0259, 14.1333 Å; angles 116.81, 116.81, 22.29 degrees
Atoms (fractional coordinates):
1 Tb 0.0625 0.0625 0.1432
2 Tb 0.9375 0.9375 0.8568
3 Pm 0.1560 0.1560 0.9683
4 Pm 0.3196 0.3196 0.6188
5 Pm 0.6804 0.6804 0.3812
6 Pm 0.8440 0.8440 0.0317
7 Tm 0.0985 0.0985 0.5259
8 Tm 0.2372 0.2372 0.7921
9 Tm 0.4607 0.4607 0.2918
10 Tm 0.5393 0.5393 0.7082
11 Tm 0.7628 0.7628 0.2079
12 Tm 0.9015 0.9015 0.4741

Mass density, g cm⁻³: 8.18
Space group: No. 12
E, eV per cell: -53.6
Spin magnetization, Bohr magnetons per cell: 0.00
Relative energy among the computed polymorphs, meV/atom: 0

Record 2
First-principles (PBE) data for LuHfTh2 after structural relaxation, as listed in Alexandria via LeMat-Bulk.

Cell lengths 5.4494, 5.4494, 5.4494 Å; angles 60.00, 60.00, 60.00 degrees
Atoms (fractional coordinates):
1 Lu 0.0000 0.0000 0.0000
2 Hf 0.5000 0.5000 0.5000
3 Th 0.2500 0.2500 0.2500
4 Th 0.7500 0.7500 0.7500

Mass density, g cm⁻³: 11.86
Space group: No. 225
E, eV per cell: -28.7
Spin magnetization, Bohr magnetons per cell: 0.00
Relative energy among the computed polymorphs, meV/atom: 51

Question: The lowest mass density belongs to which entry?
Answer: TbPm2Tm3